The following is a DFT calculation (PBE) of crystalline Pd4Pb5 at its relaxed geometry.

**E**: -4.52 eV per atom
**Total moment**: 0.0 Bohr magnetons per cell
**ΔE_f**: -0.1534 eV per atom

abc: 3.4549 9.5537 12.2961
angles: 90.00 90.00 90.00
With the nearest neighbours (Å) after each atom.
Space group Immm (No. 71)
Symmetry-distinct sites (fractional):
1 Pd 0.0000 0.2035 0.1608 x8  5 Pb 2.91-2.95, 2 Pd 2.93
2 Pb 0.0000 0.1660 0.5000 x4  4 Pd 2.91, 2 Pb 3.17-3.19
3 Pb 0.0000 0.5000 0.2283 x4  6 Pd 2.94-2.95
4 Pb 0.0000 0.5000 0.5000 x2  6 Pb 3.19-3.45, 8 Pd 3.27


The following is a DFT calculation (PBE) of crystalline PdPb3 at its relaxed geometry.

**E**: -4.06 eV per atom
**Total moment**: 0.0 Bohr magnetons per cell
**ΔE_f**: 0.0218 eV per atom

abc: 4.8133 4.8133 9.0076
angles: 90.00 90.00 90.00
With the nearest neighbours (Å) after each atom.
Space group I4/mmm (No. 139)
Symmetry-distinct sites (fractional):
1 Pd 0.0000 0.0000 0.0000 x2  12 Pb 3.30-3.40
2 Pb 0.0000 0.0000 0.5000 x2  8 Pb 3.30, 4 Pd 3.40
3 Pb 0.0000 0.5000 0.2500 x4  8 Pb 3.30-3.40, 4 Pd 3.30


The following is a DFT calculation (PBE) of crystalline PdPb at its relaxed geometry.

**E**: -4.56 eV per atom
**Total moment**: 0.0 Bohr magnetons per cell
**ΔE_f**: -0.1091 eV per atom

abc: 3.4529 16.6358 4.5911
angles: 90.00 90.00 90.00
With the nearest neighbours (Å) after each atom.
Space group Pmmn (No. 59, origin choice 2)
Symmetry-distinct sites (fractional):
1 Pd 0.2500 0.0688 0.0824 x4  6 Pb 2.88-3.10, 2 Pd 2.97
2 Pd 0.2500 0.7500 0.5821 x2  6 Pb 2.82-2.91
3 Pb 0.2500 0.2500 0.9268 x2  6 Pd 2.84-3.10
4 Pb 0.2500 0.5870 0.4158 x4  6 Pd 2.82-3.01